No. 1
VASP calculation (GGA-PBE) on a relaxed AcZr2Bi crystal.

Lattice parameters (Å, degrees): 4.9491 4.9491 4.4053 90.00 90.00 90.00
Last column: nearest neighbours and their distance in Å.
Fractional positions:
Ac: 0.0000 0.0000 0.0000  8 Zr 3.31, 4 Bi 3.50
Zr: 0.0000 0.5000 0.5000  4 Bi 3.31, 4 Ac 3.31, 4 Zr 3.50
Zr: 0.5000 0.0000 0.5000  4 Bi 3.31, 4 Ac 3.31, 4 Zr 3.50
Bi: 0.5000 0.5000 0.0000  8 Zr 3.31, 4 Ac 3.50

* formation energy from the elements: -0.02 eV per atom
* mass density: 9.52 g/cm³
* total magnetization: 0.0000 μB/atom

=====

No. 2
VASP calculation (GGA-PBE) on a relaxed MoRh4 crystal.

Lattice parameters (Å, degrees): 6.8082 6.8082 6.8082 149.87 149.87 43.13
Last column: nearest neighbours and their distance in Å.
Fractional positions:
Mo: 0.0000 0.0000 0.0000  8 Rh 2.79
Rh: 0.2500 0.7500 0.5000  8 Rh 2.50-2.62
Rh: 0.4025 0.4025 0.0000  5 Rh 2.47-2.62
Rh: 0.5975 0.5975 0.0000  5 Rh 2.47-2.62
Rh: 0.7500 0.2500 0.5000  8 Rh 2.50-2.62

* formation energy from the elements: 0.43 eV per atom
* mass density: 10.63 g/cm³
* total magnetization: 0.0004 μB/atom

=====

No. 3
VASP calculation (GGA-PBE) on a relaxed SrY3Ru crystal.

Lattice parameters (Å, degrees): 7.9620 7.9620 7.9620 56.58 56.58 56.58
Last column: nearest neighbours and their distance in Å.
Fractional positions:
Sr: 0.0895 0.0895 0.0895  1 Sr 3.58, 9 Y 3.77-3.81
Sr: 0.9105 0.9105 0.9105  1 Sr 3.58, 9 Y 3.77-3.81
Y: 0.0859 0.5879 0.5879  2 Ru 2.78-2.80
Y: 0.4121 0.4121 0.9141  2 Ru 2.78-2.80
Y: 0.4121 0.9141 0.4121  2 Ru 2.78-2.80
Y: 0.5879 0.0859 0.5879  2 Ru 2.78-2.80
Y: 0.5879 0.5879 0.0859  2 Ru 2.78-2.80
Y: 0.9141 0.4121 0.4121  2 Ru 2.78-2.80
Ru: 0.3329 0.3329 0.3329  6 Y 2.78-2.80
Ru: 0.6671 0.6671 0.6671  6 Y 2.78-2.80

* formation energy from the elements: -0.01 eV per atom
* ΔE to the lowest computed polymorph: 166.6 meV per atom
* mass density: 4.60 g/cm³
* total magnetization: 0.0000 μB/atom

=====

No. 4
VASP calculation (GGA-PBE) on a relaxed Pr2Zn3SnPt4 crystal.

Lattice parameters (Å, degrees): 4.3827 4.3827 10.5530 90.00 90.00 90.00
Last column: nearest neighbours and their distance in Å.
Fractional positions:
Pr: 0.0000 0.5000 0.2362  6 Zn 3.32-3.54, 8 Pt 3.32-3.36, 2 Sn 3.54
Pr: 0.5000 0.0000 0.7638  6 Zn 3.32-3.54, 8 Pt 3.32-3.36, 2 Sn 3.54
Zn: 0.0000 0.5000 0.8760  5 Pt 2.48-2.55
Zn: 0.5000 0.0000 0.1240  5 Pt 2.48-2.55
Zn: 0.5000 0.5000 0.5000  4 Pt 2.65
Sn: 0.0000 0.0000 0.5000  4 Pt 2.65
Pt: 0.0000 0.0000 0.0000  4 Zn 2.55
Pt: 0.0000 0.5000 0.6414  3 Zn 2.48-2.65, 2 Sn 2.65
Pt: 0.5000 0.0000 0.3586  3 Zn 2.48-2.65, 2 Sn 2.65
Pt: 0.5000 0.5000 0.0000  4 Zn 2.55

* formation energy from the elements: -0.77 eV per atom
* mass density: 11.28 g/cm³
* total magnetization: 0.0000 μB/atom

=====

No. 5
VASP calculation (GGA-PBE) on a relaxed Tl6Cd2In crystal.

Lattice parameters (Å, degrees): 3.4362 3.4362 25.5280 90.00 90.00 120.00
Last column: nearest neighbours and their distance in Å.
Fractional positions:
Tl: 0.0000 0.0000 0.0637  7 Tl 3.25-3.44, 3 Cd 3.33
Tl: 0.0000 0.0000 0.2743  3 Cd 3.35, 9 Tl 3.44-3.58
Tl: 0.0000 0.0000 0.7257  3 Cd 3.35, 9 Tl 3.44-3.58
Tl: 0.0000 0.0000 0.9363  7 Tl 3.25-3.44, 3 Cd 3.33
Tl: 0.3333 0.6667 0.3912  3 In 3.41, 9 Tl 3.44-3.58
Tl: 0.3333 0.6667 0.6088  3 In 3.41, 9 Tl 3.44-3.58
Cd: 0.3333 0.6667 0.1685  6 Tl 3.33-3.35, 6 Cd 3.44
Cd: 0.3333 0.6667 0.8315  6 Tl 3.33-3.35, 6 Cd 3.44
In: 0.0000 0.0000 0.5000  6 Tl 3.41, 6 In 3.44

* formation energy from the elements: 0.03 eV per atom
* ΔE to the lowest computed polymorph: 0.0 meV per atom
* mass density: 9.96 g/cm³
* total magnetization: 0.0000 μB/atom

=====

No. 6
VASP calculation (GGA-PBE) on a relaxed Al5ZnGa4 crystal.

Lattice parameters (Å, degrees): 2.7905 2.9869 20.6580 93.59 90.01 92.13
Last column: nearest neighbours and their distance in Å.
Fractional positions:
Al: 0.0000 0.0000 0.0000  4 Al 2.79-2.99, 8 Ga 2.82-3.02
Al: 0.0004 0.0014 0.2027  4 Al 2.79-2.99, 8 Ga 2.83-3.01
Al: 0.9996 0.9986 0.7973  4 Al 2.79-2.99, 8 Ga 2.83-3.01
Al: 0.0021 0.0122 0.5937  4 Zn 2.74-2.89, 4 Al 2.79-2.99, 4 Ga 2.82-3.06
Al: 0.9979 0.9878 0.4063  4 Zn 2.74-2.89, 4 Al 2.79-2.99, 4 Ga 2.82-3.06
Zn: 0.5000 0.5000 0.5000  8 Al 2.74-2.89, 4 Zn 2.79-2.99
Ga: 0.4963 0.5041 0.3042  4 Ga 2.79-2.99, 8 Al 2.82-3.06
Ga: 0.4981 0.4971 0.1013  4 Ga 2.79-2.99, 8 Al 2.82-3.02
Ga: 0.5019 0.5029 0.8987  4 Ga 2.79-2.99, 8 Al 2.82-3.02
Ga: 0.5037 0.4959 0.6958  4 Ga 2.79-2.99, 8 Al 2.82-3.06

* formation energy from the elements: 0.04 eV per atom
* ΔE to the lowest computed polymorph: 0.0 meV per atom
* mass density: 4.63 g/cm³
* total magnetization: 0.0000 μB/atom

=====

Number 1: electronic total energy -6.2963 eV/atom. Number 2: electronic total energy -7.6146 eV/atom. Number 3: electronic total energy -6.0800 eV/atom. Number 4: electronic total energy -4.9283 eV/atom. Number 5: electronic total energy -2.0543 eV/atom. Number 6: electronic total energy -3.1685 eV/atom.